## A
Density functional theory data (GGA-PBE) for YCu2Br after structural relaxation.

Summary:
The calculation puts the volume at 19.93 A^3/atom. The density is 6.2 g/cm³. The value obtained for the density of states at the Fermi level is 1.3 states/eV/cell.

Cell lengths 5.8071, 5.8071, 4.4973 Å; angles 67.42, 67.42, 35.05 degrees
Closest atoms and distances in Å follow each position.
Element x y z (fractional)
Br: 0.2500 0.2500 0.2500  4 Y 2.85, 4 Cu 3.13
Cu: 0.0057 0.0057 0.9912  4 Cu 2.83-2.87, 2 Y 3.03, 2 Br 3.13
Cu: 0.4943 0.4943 0.5088  4 Cu 2.83-2.87, 2 Y 3.03, 2 Br 3.13
Y: 0.7500 0.7500 0.7500  4 Br 2.85, 4 Cu 3.03

=====

## B
Density functional theory data (GGA-PBE) for YCu2Br after structural relaxation.

Summary:
The calculation puts the volume at 22.41 A^3/atom. The density is 5.5 g/cm³. The value obtained for the density of states at the Fermi level is 2.7 states/eV/cell.

Cell lengths 3.4112, 3.4112, 7.7021 Å; angles 90.00, 90.00, 90.00 degrees
Closest atoms and distances in Å follow each position.
Element x y z (fractional)
Br: 0.5000 0.5000 0.7014  4 Y 3.02
Cu: 0.0000 0.0000 0.1149  4 Cu 2.54, 1 Y 2.70
Cu: 0.5000 0.5000 0.2187  4 Cu 2.54
Y: 0.0000 0.0000 0.4649  1 Cu 2.70

=====

## C
Density functional theory data (GGA-PBE) for YCu2Br after structural relaxation.

Summary:
The calculation puts the volume at 20.99 A^3/atom. The density is 5.9 g/cm³. The value obtained for the density of states at the Fermi level is 0.2 states/eV/cell.

Cell lengths 7.8446, 7.8446, 6.1816 Å; angles 50.62, 50.62, 90.00 degrees
Closest atoms and distances in Å follow each position.
Element x y z (fractional)
Y: 0.0000 0.0000 0.0000  2 Br 2.73, 4 Cu 2.95
Y: 0.7500 0.2500 0.5000  2 Br 2.73, 4 Cu 2.95
Cu: 0.6088 0.1250 0.2500  2 Cu 2.74, 2 Br 2.77, 2 Y 2.95
Cu: 0.1412 0.6250 0.2500  2 Cu 2.74, 2 Br 2.77, 2 Y 2.95
Cu: 0.3750 0.3912 0.7500  2 Cu 2.74, 2 Br 2.77, 2 Y 2.95
Cu: 0.8750 0.8588 0.7500  2 Cu 2.74, 2 Br 2.77, 2 Y 2.95
Br: 0.5000 0.5000 0.0000  2 Y 2.73, 4 Cu 2.77
Br: 0.2500 0.7500 0.5000  2 Y 2.73, 4 Cu 2.77

=====

Of them, the most stable is B and the least stable is A.

=====

## A
Density functional theory data (GGA-PBE) for YCu2Br after structural relaxation.

Summary:
The calculation puts the volume at 20.38 A^3/atom. The density is 6.0 g/cm³. The value obtained for the density of states at the Fermi level is 1.6 states/eV/cell.

Cell lengths 4.8672, 4.8672, 4.8672 Å; angles 60.00, 60.00, 60.00 degrees
Closest atoms and distances in Å follow each position.
Element x y z (fractional)
Y: 0.5000 0.5000 0.5000  8 Cu 2.98
Cu: 0.2500 0.2500 0.2500  4 Br 2.98, 4 Y 2.98
Cu: 0.7500 0.7500 0.7500  4 Br 2.98, 4 Y 2.98
Br: 0.0000 0.0000 0.0000  8 Cu 2.98

=====

## B
Density functional theory data (GGA-PBE) for YCu2Br after structural relaxation.

Summary:
The calculation puts the volume at 21.32 A^3/atom. The density is 5.8 g/cm³. The value obtained for the density of states at the Fermi level is 0.9 states/eV/cell.

Cell lengths 3.7681, 4.9662, 4.9842 Å; angles 66.11, 90.00, 90.00 degrees
Closest atoms and distances in Å follow each position.
Element x y z (fractional)
Br: 0.5000 0.7500 0.7500  2 Y 2.71, 4 Cu 2.73
Cu: 0.0000 0.9862 0.9878  2 Cu 2.71-2.73, 2 Br 2.73, 2 Y 2.89
Cu: 0.0000 0.5138 0.5122  2 Cu 2.71-2.73, 2 Br 2.73, 2 Y 2.89
Y: 0.5000 0.2500 0.2500  2 Br 2.71, 4 Cu 2.89

=====

## C
Density functional theory data (GGA-PBE) for YCu2Br after structural relaxation.

Summary:
The calculation puts the volume at 22.65 A^3/atom. The density is 5.4 g/cm³. The value obtained for the density of states at the Fermi level is 0.4 states/eV/cell.

Cell lengths 7.6725, 7.6725, 7.6725 Å; angles 28.45, 28.45, 28.45 degrees
Closest atoms and distances in Å follow each position.
Element x y z (fractional)
Br: 0.7500 0.7500 0.7500  6 Cu 2.79
Cu: 0.0040 0.0040 0.0040  3 Br 2.79, 3 Y 2.91
Cu: 0.4960 0.4960 0.4960  3 Br 2.79, 3 Y 2.91
Y: 0.2500 0.2500 0.2500  6 Cu 2.91

=====

## D
Density functional theory data (GGA-PBE) for YCu2Br after structural relaxation.

Summary:
The calculation puts the volume at 24.38 A^3/atom. The density is 5.0 g/cm³. The value obtained for the density of states at the Fermi level is 1.7 states/eV/cell.

Cell lengths 4.1067, 4.1067, 6.6742 Å; angles 90.27, 90.27, 60.03 degrees
Closest atoms and distances in Å follow each position.
Element x y z (fractional)
Br: 0.1231 0.1231 0.2874  1 Cu 2.96, 3 Y 3.01
Cu: 0.1263 0.1263 0.8436  3 Cu 2.39
Cu: 0.7926 0.7926 0.8037  3 Cu 2.39
Y: 0.4579 0.4579 0.5653  6 Cu 2.86-3.01, 3 Br 3.01

=====

Of them, the most stable is D and the least stable is A.

=====

## A
Density functional theory data (GGA-PBE) for YCu2Br after structural relaxation.

Summary:
The calculation puts the volume at 21.29 A^3/atom. The density is 5.8 g/cm³. The value obtained for the density of states at the Fermi level is 2.6 states/eV/cell.

Cell lengths 3.4125, 3.4067, 7.5226 Å; angles 76.87, 90.00, 90.00 degrees
Closest atoms and distances in Å follow each position.
Element x y z (fractional)
Br: 0.5000 0.9514 0.7205  4 Y 3.04, 2 Cu 3.25
Cu: 0.0000 0.7638 0.0983  4 Cu 2.55-2.56, 1 Y 2.71
Cu: 0.5000 0.2064 0.2135  4 Cu 2.55-2.56
Y: 0.0000 0.5784 0.4678  1 Cu 2.71

=====

## B
Density functional theory data (GGA-PBE) for YCu2Br after structural relaxation.

Summary:
The calculation puts the volume at 25.41 A^3/atom. The density is 4.8 g/cm³. The value obtained for the density of states at the Fermi level is 0.4 states/eV/cell.

Cell lengths 7.3347, 7.3347, 7.3347 Å; angles 32.56, 32.56, 32.56 degrees
Closest atoms and distances in Å follow each position.
Element x y z (fractional)
Br: 0.7679 0.7679 0.7679  3 Y 3.00
Cu: 0.9422 0.9422 0.9422  3 Cu 2.38
Cu: 0.2674 0.2674 0.2674  3 Cu 2.38
Y: 0.5226 0.5226 0.5226  6 Cu 2.88-2.98, 3 Br 3.00

=====

Of them, the most stable is B and the least stable is A.

=====

## A
Density functional theory data (GGA-PBE) for Y2Cu2Br after structural relaxation.

Summary:
The calculation puts the volume at 22.52 A^3/atom. The density is 5.7 g/cm³. The value obtained for the density of states at the Fermi level is 5.3 states/eV/cell.

Cell lengths 7.8183, 7.8183, 3.6834 Å; angles 90.00, 90.00, 90.00 degrees
Closest atoms and distances in Å follow each position.
Element x y z (fractional)
Y: 0.1664 0.6664 0.5000  6 Cu 2.90-3.03
Y: 0.6664 0.8336 0.5000  6 Cu 2.90-3.03
Y: 0.8336 0.3336 0.5000  6 Cu 2.90-3.03
Y: 0.3336 0.1664 0.5000  6 Cu 2.90-3.03
Cu: 0.3838 0.8838 0.0000  1 Cu 2.57
Cu: 0.8838 0.6162 0.0000  1 Cu 2.57
Cu: 0.6162 0.1162 0.0000  1 Cu 2.57
Cu: 0.1162 0.3838 0.0000  1 Cu 2.57
Br: 0.0000 0.0000 0.0000  4 Cu 3.14, 8 Y 3.45
Br: 0.5000 0.5000 0.0000  4 Cu 3.14, 8 Y 3.45

=====

## B
Density functional theory data (GGA-PBE) for Y2Cu2Br after structural relaxation.

Summary:
The calculation puts the volume at 23.38 A^3/atom. The density is 5.5 g/cm³. The value obtained for the density of states at the Fermi level is 7.6 states/eV/cell.

Cell lengths 7.7897, 7.7897, 3.8523 Å; angles 90.00, 90.00, 90.00 degrees
Closest atoms and distances in Å follow each position.
Element x y z (fractional)
Y: 0.3304 0.8304 0.0000  2 Br 2.89, 6 Cu 2.96-3.07
Y: 0.8304 0.6696 0.0000  2 Br 2.89, 6 Cu 2.96-3.07
Y: 0.6696 0.1696 0.0000  2 Br 2.89, 6 Cu 2.96-3.07
Y: 0.1696 0.3304 0.0000  2 Br 2.89, 6 Cu 2.96-3.07
Cu: 0.1131 0.6131 0.5000  1 Cu 2.49
Cu: 0.6131 0.8869 0.5000  1 Cu 2.49
Cu: 0.8869 0.3869 0.5000  1 Cu 2.49
Cu: 0.3869 0.1131 0.5000  1 Cu 2.49
Br: 0.0000 0.0000 0.0000  4 Y 2.89
Br: 0.5000 0.5000 0.0000  4 Y 2.89

=====

Of them, the most stable is B and the least stable is A.

=====

## A
Density functional theory data (GGA-PBE) for ZnCuBr2 after structural relaxation.

Summary:
The calculation puts the volume at 27.44 A^3/atom. The density is 4.4 g/cm³. The value obtained for the density of states at the Fermi level is 1.4 states/eV/cell.

Cell lengths 4.3103, 4.3103, 7.5743 Å; angles 90.00, 90.00, 128.73 degrees
Closest atoms and distances in Å follow each position.
Element x y z (fractional)
Br: 0.0000 0.0000 0.0251  2 Cu 2.53, 2 Zn 2.80
Br: 0.0000 0.0000 0.4749  2 Cu 2.53, 2 Zn 2.80
Cu: 0.5000 0.5000 0.2500  4 Br 2.53
Zn: 0.5000 0.5000 0.7500  4 Br 2.80

=====

## B
Density functional theory data (GGA-PBE) for ZnCuBr2 after structural relaxation.

Summary:
The calculation puts the volume at 26.70 A^3/atom. The density is 4.5 g/cm³. The value obtained for the density of states at the Fermi level is 1.4 states/eV/cell.

Cell lengths 3.7702, 7.5683, 3.7425 Å; angles 90.00, 90.00, 90.00 degrees
Closest atoms and distances in Å follow each position.
Element x y z (fractional)
Br: 0.0000 0.0000 0.0000  4 Cu 2.66
Br: 0.5000 0.5000 0.0000  4 Zn 2.66
Cu: 0.5000 0.0000 0.5000  4 Br 2.66
Zn: 0.0000 0.5000 0.5000  4 Br 2.66

=====

Of them, the most stable is A and the least stable is B.

=====

## A
Density functional theory data (GGA-PBE) for ZnCuBr2 after structural relaxation.

Summary:
The calculation puts the volume at 20.78 A^3/atom. The density is 5.8 g/cm³. The value obtained for the density of states at the Fermi level is 1.3 states/eV/cell.

Cell lengths 4.9131, 4.9131, 3.4434 Å; angles 90.00, 90.00, 90.00 degrees
Closest atoms and distances in Å follow each position.
Element x y z (fractional)
Br: 0.0000 0.0000 0.0000  4 Zn 3.00, 4 Cu 3.00
Br: 0.5000 0.5000 0.0000  4 Zn 3.00, 4 Cu 3.00
Cu: 0.5000 0.0000 0.5000  8 Br 3.00
Zn: 0.0000 0.5000 0.5000  8 Br 3.00

=====

## B
Density functional theory data (GGA-PBE) for ZnCuBr2 after structural relaxation.

Summary:
The calculation puts the volume at 25.30 A^3/atom. The density is 4.7 g/cm³. The value obtained for the density of states at the Fermi level is 1.9 states/eV/cell.

Cell lengths 8.3737, 8.3737, 8.3737 Å; angles 156.28, 154.60, 35.03 degrees
Closest atoms and distances in Å follow each position.
Element x y z (fractional)
Br: 0.9984 0.9984 0.0000  4 Cu 2.69
Br: 0.7436 0.2436 0.5000  4 Zn 2.79
Cu: 0.4395 0.4395 0.0000  2 Zn 2.59, 4 Br 2.69
Zn: 0.3184 0.8184 0.5000  2 Cu 2.59, 4 Br 2.79

=====

## C
Density functional theory data (GGA-PBE) for ZnCuBr2 after structural relaxation.

Summary:
The calculation puts the volume at 27.76 A^3/atom. The density is 4.3 g/cm³. The value obtained for the density of states at the Fermi level is 1.0 states/eV/cell.

Cell lengths 3.5247, 4.7022, 6.9264 Å; angles 75.30, 90.00, 90.00 degrees
Closest atoms and distances in Å follow each position.
Element x y z (fractional)
Br: 0.0000 0.9819 0.8797  2 Zn 2.59, 1 Cu 2.63
Br: 0.5000 0.2776 0.3760  2 Cu 2.50, 1 Zn 2.65
Cu: 0.0000 0.4502 0.5752  3 Br 2.50-2.63, 2 Zn 2.57
Zn: 0.5000 0.7903 0.6691  2 Cu 2.57, 3 Br 2.59-2.65

=====

## D
Density functional theory data (GGA-PBE) for ZnCuBr2 after structural relaxation.

Summary:
The calculation puts the volume at 21.96 A^3/atom. The density is 5.5 g/cm³. The value obtained for the density of states at the Fermi level is 3.2 states/eV/cell.

Cell lengths 4.9896, 4.9896, 4.9896 Å; angles 60.00, 60.00, 60.00 degrees
Closest atoms and distances in Å follow each position.
Element x y z (fractional)
Br: 0.0000 0.0000 0.0000  4 Zn 3.06, 4 Br 3.06
Br: 0.2500 0.2500 0.2500  4 Br 3.06, 4 Cu 3.06
Cu: 0.5000 0.5000 0.5000  4 Br 3.06, 4 Zn 3.06
Zn: 0.7500 0.7500 0.7500  4 Cu 3.06, 4 Br 3.06

=====

Of them, the most stable is C and the least stable is D.